Run P
Tb4NdHo6: relaxed, PBE.

It has space group I-42m (No. 121), with a = 7.679 Å, b = 7.679 Å, c = 12.915 Å, α = 90.00°, β = 90.00° and γ = 90.00°. The distinct sites, in fractional coordinates, are Tb at (0.168, 0.168, 0.425), Nd at (0.000, 0.000, 0.000), Ho at (0.000, 0.500, 0.000) and Ho at (0.249, 0.249, 0.186).

=====

Run Q
Tb4NdHo6: relaxed, PBE.

It has space group Cmcm (No. 63), with a = 5.705 Å, b = 9.607 Å, c = 25.656 Å, α = 90.00°, β = 90.00° and γ = 90.00°. The distinct sites, in fractional coordinates, are Tb at (0.000, 0.029, 0.121), Tb at (0.000, 0.343, 0.042), Nd at (0.000, 0.314, 0.750), Ho at (0.000, 0.000, 0.000), Ho at (0.000, 0.020, 0.250), Ho at (0.000, 0.311, 0.603) and Ho at (0.000, 0.357, 0.181).

=====

Consider the structures shown above. The least stable of them is run P.